VASP calculation (PBE with a Hubbard U) on an optimized crystal structure of Li5Co5Cu2O12.

Lattice parameters (Å, degrees): 5.0213 5.0213 9.6217 85.63 85.63 118.51
Atoms (fractional coordinates):
O 0.5631 0.7291 0.6072
Li 0.3454 0.1749 0.2444
Cu 0.7521 0.2479 0.0000
Li 0.0845 0.9155 0.0000
O 0.4657 0.3027 0.8829
Co 0.4193 0.5807 0.0000
O 0.7536 0.9322 0.8866
O 0.0678 0.2464 0.1134
O 0.2237 0.0667 0.6095
Li 0.8251 0.6546 0.7556
O 0.1572 0.6278 0.8769
Li 0.1585 0.3252 0.7534
Li 0.6748 0.8415 0.2466
O 0.9333 0.7763 0.3906
O 0.3722 0.8428 0.1231
Co 0.0063 0.5132 0.2457
Co 0.9136 0.0864 0.5000
O 0.2709 0.4369 0.3928
O 0.6973 0.5343 0.1171
Co 0.4868 0.9937 0.7543
Co 0.5813 0.4187 0.5000
O 0.8337 0.3389 0.6211
O 0.6611 0.1663 0.3789
Cu 0.2477 0.7523 0.5000

The value obtained for the total magnetization is 5.94 μB/f.u. As for the space group: C2, No. 5. The value obtained for the total energy is -5.481 eV/atom.